First-principles (PBE-GGA) data for an optimized crystal structure of LaPm2Y3P6, as listed in Alexandria.

Properties
- SG = C2/m (12)
- uncorrected energy (eV per atom) = -7.113
- size of the total moment (μB/f.u.) = 0.00

Lattice parameters (Å, degrees): 7.0995 7.0995 7.0942 99.60 99.60 119.99
Fractional positions:
Pm1 0.6668 0.3332 0.0000
Pm2 0.3332 0.6668 0.0000
P1 0.0863 0.4230 0.2588
P2 0.4230 0.0863 0.2588
P3 0.2504 0.2504 0.7412
P4 0.5770 0.9137 0.7412
P5 0.7496 0.7496 0.2588
P6 0.9137 0.5770 0.7412
Y1 0.8337 0.1663 0.5000
Y2 0.5000 0.5000 0.5000
Y3 0.1663 0.8337 0.5000
La1 0.0000 0.0000 0.0000